(1)
First-principles (PBE-GGA) data for a relaxed structure of Li2ZnAg3, as listed in the Alexandria database.

Values from the calculation:
The value obtained for the energy relative to the lowest polymorph listed for this composition is 86 meV per atom. Its crystal system is monoclinic. As for the symmetry: C2/m (12). Its formation energy is -0.092 eV per atom. The spin magnetization comes out at 0.0 Bohr magnetons per cell.

extended XYZ file:
```
12
Lattice="-0.7554 2.0174 -1.7991 -6.5351 -2.2314 -1.9476 -6.4041 5.2718 6.4113" Properties=species:S:1:pos:R:3 pbc="T T T"
Li -9.3413 5.1948 3.1797
Ag -3.3895 1.7002 1.1404
Zn -6.1198 1.9415 0.3682
Li -5.0539 3.7688 1.9697
Zn -7.5747 3.1164 2.2965
Ag -5.9799 3.8376 4.6249
Li -8.6406 1.2891 0.6949
Ag -10.3051 3.3577 1.5242
Ag -11.9888 4.5036 3.5161
Li -4.3532 -0.1369 -0.5150
Ag -7.7147 1.2203 -1.9602
Ag -1.7058 0.5543 -0.8515
```

***

(2)
First-principles (PBE-GGA) data for a relaxed structure of ScZn2SiIr, as listed in the Alexandria database.

Values from the calculation:
The value obtained for the energy relative to the lowest polymorph listed for this composition is 1258 meV per atom. Its crystal system is tetragonal. As for the symmetry: P4/mmm (123). Its formation energy (no corrections) is 7.7 eV/f.u. The spin magnetization comes out at 0.0 Bohr magnetons per cell.

extended XYZ file:
```
5
Lattice="4.7971 0.0000 0.0000 0.0000 4.8307 0.0000 0.0000 0.0000 4.7971" Properties=species:S:1:pos:R:3 pbc="T T T"
Ir 2.3985 2.4154 2.3985
Zn 0.0000 0.0000 2.3985
Si 0.0000 2.4154 0.0000
Sc 0.0000 0.0000 0.0000
Zn 2.3985 0.0000 0.0000
```

***

(3)
First-principles (PBE-GGA) data for a relaxed structure of K2TlZnAs2, as listed in the Alexandria database.

Values from the calculation:
Its crystal system is orthorhombic. As for the symmetry: Ibam (72). Its formation energy is -0.321 eV per atom. The spin magnetization comes out at 0.0 Bohr magnetons per cell.

extended XYZ file:
```
12
Lattice="-3.1736 4.0553 -4.5237 1.4061 -4.3594 -4.8945 -5.6730 -3.4759 6.0568" Properties=species:S:1:pos:R:3 pbc="T T T"
As -3.5292 2.1652 -2.9424
Tl 0.3515 -1.0899 -1.2236
As -5.9386 -2.0736 0.1408
K -4.3935 -3.5386 -2.7011
As -1.5020 -1.7064 -3.5023
Tl 1.0546 -3.2696 -3.6709
Zn -0.5322 -1.2419 -5.9327
As -3.9114 -5.9452 -0.4190
K -3.5007 -3.3981 2.0209
K -3.0471 -0.2414 -0.6603
Zn -1.2353 0.9378 -3.4855
K -3.9399 -0.3820 -5.3823
```

***

(4)
First-principles (PBE-GGA) data for a relaxed structure of Pr2DyBi3, as listed in the Alexandria database.

Values from the calculation:
The value obtained for the energy relative to the lowest polymorph listed for this composition is 2 meV per atom. Its crystal system is orthorhombic. As for the symmetry: Immm (71). Its formation energy is -0.919 eV per atom. The spin magnetization comes out at 0.0 Bohr magnetons per cell.

extended XYZ file:
```
6
Lattice="4.5892 0.0000 0.0000 0.0000 6.4918 0.0000 -2.2946 -3.2459 6.8773" Properties=species:S:1:pos:R:3 pbc="T T T"
Dy 1.1473 1.6230 3.4387
Bi 1.1473 -1.6230 3.4387
Bi 3.4419 1.6229 1.2262
Pr -1.1473 -1.6230 5.7530
Bi -1.1473 1.6230 5.6511
Pr 3.4419 4.8689 1.1243
```

***

(5)
First-principles (PBE-GGA) data for a relaxed structure of Al2AsI8, as listed in the Alexandria database.

Values from the calculation:
Its crystal system is monoclinic. As for the symmetry: C2/m (12). Its formation energy (no corrections) is -5.1 eV/f.u. The spin magnetization comes out at 1.0 Bohr magnetons per cell.

extended XYZ file:
```
11
Lattice="7.6314 -0.1472 -0.1224 -0.0539 8.7546 -0.1077 -0.0539 1.4947 8.6268" Properties=species:S:1:pos:R:3 pbc="T T T"
I 6.1310 1.5210 6.0334
Al 2.4453 2.1826 1.8141
As 0.0000 0.0000 0.0000
Al 5.0784 7.9195 6.5826
I 1.3927 3.8922 8.0043
I 6.0010 6.1252 5.0912
I 2.5638 8.0363 6.6797
I 1.3927 8.5810 2.3633
I 6.1310 6.2098 0.3924
I 4.9599 2.0658 1.7170
I 1.5228 3.9769 3.3055
```

***

(6)
First-principles (PBE-GGA) data for a relaxed structure of ZnAs2Pb, as listed in the Alexandria database.

Values from the calculation:
Its crystal system is orthorhombic. As for the symmetry: Imm2 (44). Its formation energy is 0.169 eV per atom. The spin magnetization comes out at 0.0 Bohr magnetons per cell.

extended XYZ file:
```
4
Lattice="5.8106 0.0024 0.0013 2.1280 5.4069 -0.0013 -3.2089 -3.8205 2.9781" Properties=species:S:1:pos:R:3 pbc="T T T"
Pb 3.8332 2.6119 0.0000
Zn 1.2001 1.9792 1.4884
As 3.7134 -0.2651 1.4897
As 7.8908 5.3767 0.0000
```

***

What did the first record say?
First-principles (PBE-GGA) data for a relaxed structure of Li2ZnAg3, as listed in the Alexandria database.

Values from the calculation:
The value obtained for the energy relative to the lowest polymorph listed for this composition is 86 meV per atom. Its crystal system is monoclinic. As for the symmetry: C2/m (12). Its formation energy is -0.092 eV per atom. The spin magnetization comes out at 0.0 Bohr magnetons per cell.

extended XYZ file:
```
12
Lattice="-0.7554 2.0174 -1.7991 -6.5351 -2.2314 -1.9476 -6.4041 5.2718 6.4113" Properties=species:S:1:pos:R:3 pbc="T T T"
Li -9.3413 5.1948 3.1797
Ag -3.3895 1.7002 1.1404
Zn -6.1198 1.9415 0.3682
Li -5.0539 3.7688 1.9697
Zn -7.5747 3.1164 2.2965
Ag -5.9799 3.8376 4.6249
Li -8.6406 1.2891 0.6949
Ag -10.3051 3.3577 1.5242
Ag -11.9888 4.5036 3.5161
Li -4.3532 -0.1369 -0.5150
Ag -7.7147 1.2203 -1.9602
Ag -1.7058 0.5543 -0.8515
```

***

Q: What is the spin magnetization in the third record?
A: 0.0 Bohr magnetons per cell